# Ce2Si3Ni6 PBE relaxed
# - SG = No. 189
# - calculated volume (Å³/cell) = 167.8
# - E_form (uncorrected) (meV/atom) = -576
# - D(E_F) (states/eV/cell) = 7.727
data_Ce2Si3Ni6
_chemical_formula_sum 'Ce2 Si3 Ni6'
_symmetry_space_group_name_H-M 'P 1'
_symmetry_Int_Tables_number 1
_symmetry_space_group_name_Hall 'P 1'
_cell_length_a 4.052
_cell_length_b 6.916
_cell_length_c 6.916
_cell_angle_alpha 120.00
_cell_angle_beta 90.00
_cell_angle_gamma 90.00
loop_
_atom_site_label
_atom_site_type_symbol
_atom_site_fract_x
_atom_site_fract_y
_atom_site_fract_z
_atom_site_occupancy
Ce1 Ce 0.000 0.667 0.333 1
Ce2 Ce 0.000 0.333 0.667 1
Si1 Si 0.500 0.363 0.363 1
Si2 Si 0.500 0.637 0.000 1
Si3 Si 0.500 0.000 0.637 1
Ni1 Ni 0.500 0.701 0.701 1
Ni2 Ni 0.500 0.000 0.299 1
Ni3 Ni 0.000 0.201 0.201 1
Ni4 Ni 0.000 0.799 0.000 1
Ni5 Ni 0.500 0.299 0.000 1
Ni6 Ni 0.000 0.000 0.799 1



# CeSiNi PBE relaxed
# - SG = No. 187
# - calculated volume (Å³/cell) = 56.2
# - E_form (uncorrected) (meV/atom) = -735
# - D(E_F) (states/eV/cell) = 3.823
data_CeSiNi
_chemical_formula_sum 'Ce1 Si1 Ni1'
_symmetry_space_group_name_H-M 'P 1'
_symmetry_Int_Tables_number 1
_symmetry_space_group_name_Hall 'P 1'
_cell_length_a 3.888
_cell_length_b 4.085
_cell_length_c 4.085
_cell_angle_alpha 120.00
_cell_angle_beta 90.00
_cell_angle_gamma 90.00
loop_
_atom_site_label
_atom_site_type_symbol
_atom_site_fract_x
_atom_site_fract_y
_atom_site_fract_z
_atom_site_occupancy
Ni1 Ni 0.167 0.333 0.667 1
Si1 Si 0.167 0.000 0.000 1
Ce1 Ce 0.667 0.667 0.333 1



# Ce2SiNi PBE relaxed
# - SG = No. 166
# - calculated volume (Å³/cell) = 78.8
# - E_form (uncorrected) (meV/atom) = 117
# - D(E_F) (states/eV/cell) = 5.777
# - distance to the lowest polymorph of the same formula (meV per atom) = 673
data_Ce2SiNi
_chemical_formula_sum 'Ce2 Si1 Ni1'
_symmetry_space_group_name_H-M 'P 1'
_symmetry_Int_Tables_number 1
_symmetry_space_group_name_Hall 'P 1'
_cell_length_a 3.019
_cell_length_b 3.019
_cell_length_c 10.129
_cell_angle_alpha 81.43
_cell_angle_beta 81.43
_cell_angle_gamma 60.00
loop_
_atom_site_label
_atom_site_type_symbol
_atom_site_fract_x
_atom_site_fract_y
_atom_site_fract_z
_atom_site_occupancy
Ni1 Ni 0.000 0.000 0.000 1
Si1 Si 0.500 0.500 0.500 1
Ce1 Ce 0.083 0.083 0.752 1
Ce2 Ce 0.917 0.917 0.248 1



# Ce3SiNi2 PBE relaxed
# - SG = No. 14
# - calculated volume (Å³/cell) = 495.7
# - E_form (uncorrected) (meV/atom) = -367
# - D(E_F) (states/eV/cell) = 48.235
data_Ce3SiNi2
_chemical_formula_sum 'Ce12 Si4 Ni8'
_symmetry_space_group_name_H-M 'P 1'
_symmetry_Int_Tables_number 1
_symmetry_space_group_name_Hall 'P 1'
_cell_length_a 6.552
_cell_length_b 9.147
_cell_length_c 8.281
_cell_angle_alpha 90.00
_cell_angle_beta 92.79
_cell_angle_gamma 90.00
loop_
_atom_site_label
_atom_site_type_symbol
_atom_site_fract_x
_atom_site_fract_y
_atom_site_fract_z
_atom_site_occupancy
Ce1 Ce 0.262 0.915 0.966 1
Ce2 Ce 0.238 0.415 0.534 1
Ce3 Ce 0.738 0.085 0.034 1
Ce4 Ce 0.762 0.585 0.466 1
Ce5 Ce 0.304 0.579 0.125 1
Ce6 Ce 0.196 0.079 0.375 1
Ce7 Ce 0.696 0.421 0.875 1
Ce8 Ce 0.804 0.921 0.625 1
Ce9 Ce 0.840 0.668 0.119 1
Ce10 Ce 0.660 0.168 0.381 1
Ce11 Ce 0.160 0.332 0.881 1
Ce12 Ce 0.340 0.832 0.619 1
Si1 Si 0.529 0.849 0.294 1
Si2 Si 0.971 0.349 0.206 1
Si3 Si 0.471 0.151 0.706 1
Si4 Si 0.029 0.651 0.794 1
Ni1 Ni 0.889 0.905 0.296 1
Ni2 Ni 0.611 0.405 0.204 1
Ni3 Ni 0.111 0.095 0.704 1
Ni4 Ni 0.389 0.595 0.796 1
Ni5 Ni 0.185 0.751 0.343 1
Ni6 Ni 0.315 0.251 0.157 1
Ni7 Ni 0.815 0.249 0.657 1
Ni8 Ni 0.685 0.749 0.843 1



# CeSi4Ni2 PBE relaxed
# - SG = No. 62
# - calculated volume (Å³/cell) = 430.7
# - E_form (uncorrected) (meV/atom) = -507
# - D(E_F) (states/eV/cell) = 21.105
data_CeSi4Ni2
_chemical_formula_sum 'Ce4 Si16 Ni8'
_symmetry_space_group_name_H-M 'P 1'
_symmetry_Int_Tables_number 1
_symmetry_space_group_name_Hall 'P 1'
_cell_length_a 3.939
_cell_length_b 6.260
_cell_length_c 17.469
_cell_angle_alpha 90.00
_cell_angle_beta 90.00
_cell_angle_gamma 90.00
loop_
_atom_site_label
_atom_site_type_symbol
_atom_site_fract_x
_atom_site_fract_y
_atom_site_fract_z
_atom_site_occupancy
Ce1 Ce 0.750 0.028 0.641 1
Ce2 Ce 0.250 0.972 0.359 1
Ce3 Ce 0.250 0.528 0.859 1
Ce4 Ce 0.750 0.472 0.141 1
Si1 Si 0.250 0.305 0.710 1
Si2 Si 0.750 0.695 0.290 1
Si3 Si 0.750 0.805 0.790 1
Si4 Si 0.250 0.195 0.210 1
Si5 Si 0.250 0.688 0.667 1
Si6 Si 0.750 0.312 0.333 1
Si7 Si 0.750 0.188 0.833 1
Si8 Si 0.250 0.812 0.167 1
Si9 Si 0.250 0.129 0.524 1
Si10 Si 0.750 0.871 0.476 1
Si11 Si 0.750 0.629 0.976 1
Si12 Si 0.250 0.371 0.024 1
Si13 Si 0.250 0.467 0.435 1
Si14 Si 0.750 0.533 0.565 1
Si15 Si 0.750 0.967 0.065 1
Si16 Si 0.250 0.033 0.935 1
Ni1 Ni 0.250 0.737 0.528 1
Ni2 Ni 0.750 0.263 0.472 1
Ni3 Ni 0.750 0.237 0.972 1
Ni4 Ni 0.250 0.763 0.028 1
Ni5 Ni 0.250 0.013 0.799 1
Ni6 Ni 0.750 0.987 0.201 1
Ni7 Ni 0.750 0.513 0.701 1
Ni8 Ni 0.250 0.487 0.299 1



# Ce4Si5Ni2 PBE relaxed
# - SG = No. 10
# - calculated volume (Å³/cell) = 216.0
# - E_form (uncorrected) (meV/atom) = -544
# - D(E_F) (states/eV/cell) = 15.179
data_Ce4Si5Ni2
_chemical_formula_sum 'Ce4 Si5 Ni2'
_symmetry_space_group_name_H-M 'P 1'
_symmetry_Int_Tables_number 1
_symmetry_space_group_name_Hall 'P 1'
_cell_length_a 4.093
_cell_length_b 6.356
_cell_length_c 8.333
_cell_angle_alpha 94.89
_cell_angle_beta 90.00
_cell_angle_gamma 90.00
loop_
_atom_site_label
_atom_site_type_symbol
_atom_site_fract_x
_atom_site_fract_y
_atom_site_fract_z
_atom_site_occupancy
Ce1 Ce 0.500 0.716 0.567 1
Ce2 Ce 0.500 0.188 0.885 1
Ce3 Ce 0.500 0.284 0.433 1
Ce4 Ce 0.500 0.812 0.115 1
Si1 Si 0.000 0.574 0.301 1
Si2 Si 0.000 0.185 0.164 1
Si3 Si 0.000 0.500 0.000 1
Si4 Si 0.000 0.815 0.836 1
Si5 Si 0.000 0.426 0.699 1
Ni1 Ni 0.000 0.058 0.642 1
Ni2 Ni 0.000 0.942 0.358 1